# 1
First-principles (PBE) data for an optimized crystal structure of Hg2IrPt, as listed in Alexandria via LeMat-Bulk.

Structure (POSCAR):
```
Hg2IrPt
1.0
2.943 0.010 0.000
-1.438 2.567 0.000
0.000 0.000 9.527
Pt Hg Ir
1 2 1
Direct
0.500 0.500 0.750 Pt
0.000 0.000 0.002 Hg
0.000 0.000 0.498 Hg
0.500 0.500 0.250 Ir
```

Values from the calculation:
* space-group type: No. 65
* distance to the lowest polymorph of the same formula: 44 meV/atom

# 2
First-principles (PBE) data for an optimized crystal structure of PrDy8Y6, as listed in Alexandria via LeMat-Bulk.

Structure (POSCAR):
```
PrDy8Y6
1.0
-4.698 -5.309 -5.651
-0.179 -8.970 1.304
-7.193 -4.070 2.530
Dy Pr Y
8 1 6
Direct
0.576 0.576 0.272 Dy
0.255 0.281 0.575 Dy
0.719 0.111 0.425 Dy
0.281 0.889 0.575 Dy
0.745 0.719 0.425 Dy
0.111 0.745 0.425 Dy
0.424 0.424 0.728 Dy
0.889 0.255 0.575 Dy
0.000 0.000 0.000 Pr
0.106 0.235 0.122 Y
0.235 0.538 0.122 Y
0.538 0.106 0.122 Y
0.894 0.765 0.878 Y
0.462 0.894 0.878 Y
0.765 0.462 0.878 Y
```

Values from the calculation:
* space-group type: No. 148

# 3
First-principles (PBE) data for an optimized crystal structure of SmScTiIr2, as listed in Alexandria via LeMat-Bulk.

Structure (POSCAR):
```
SmScTiIr2
1.0
4.258 0.000 0.000
0.000 4.258 0.000
-2.129 -2.129 5.688
Sc Sm Ti Ir
1 1 1 2
Direct
0.750 0.250 0.500 Sc
0.000 0.000 0.000 Sm
0.250 0.750 0.500 Ti
0.384 0.384 0.769 Ir
0.616 0.616 0.231 Ir
```

Values from the calculation:
* space-group type: No. 119

# 4
First-principles (PBE) data for an optimized crystal structure of Zr2Co2S, as listed in Alexandria via LeMat-Bulk.

Structure (POSCAR):
```
Zr2Co2S
1.0
-3.281 0.301 0.062
-0.089 -1.564 2.900
-1.015 5.946 5.049
Co S Zr
2 1 2
Direct
0.250 0.750 0.500 Co
0.750 0.250 0.500 Co
0.000 0.000 0.000 S
0.390 0.390 0.220 Zr
0.610 0.610 0.780 Zr
```

Values from the calculation:
* formation energy (no corrections): -0.46 eV/atom
* space-group type: No. 139

# 5
First-principles (PBE) data for an optimized crystal structure of CsGa2AgI8, as listed in Alexandria via LeMat-Bulk.

Structure (POSCAR):
```
CsGa2AgI8
1.0
7.508 0.000 0.000
-3.754 6.502 0.000
0.000 0.000 10.802
I Cs Ga Ag
8 1 2 1
Direct
0.992 0.669 0.328 I
0.669 0.677 0.672 I
0.331 0.323 0.328 I
0.333 0.667 0.985 I
0.667 0.333 0.015 I
0.677 0.008 0.328 I
0.008 0.331 0.672 I
0.323 0.992 0.672 I
0.000 0.000 0.000 Cs
0.667 0.333 0.255 Ga
0.333 0.667 0.745 Ga
0.000 0.000 0.500 Ag
```

Values from the calculation:
* formation energy (no corrections): -0.65 eV/atom
* space-group type: No. 147

# 6
First-principles (PBE) data for an optimized crystal structure of Pr12Ho2Sc, as listed in Alexandria via LeMat-Bulk.

Structure (POSCAR):
```
Pr12Ho2Sc
1.0
-1.029 -6.533 -0.458
6.549 -1.024 -0.110
0.142 -1.795 25.275
Pr Ho Sc
24 4 2
Direct
0.832 0.332 0.564 Pr
0.000 0.000 0.666 Pr
0.186 0.314 0.107 Pr
0.000 0.000 0.334 Pr
0.686 0.186 0.107 Pr
0.500 0.500 0.790 Pr
0.000 0.000 0.790 Pr
0.814 0.314 0.893 Pr
0.314 0.814 0.107 Pr
0.332 0.832 0.436 Pr
0.500 0.500 0.666 Pr
0.314 0.186 0.893 Pr
0.814 0.686 0.107 Pr
0.668 0.832 0.564 Pr
0.000 0.000 0.210 Pr
0.832 0.668 0.436 Pr
0.686 0.814 0.893 Pr
0.668 0.168 0.436 Pr
0.332 0.168 0.564 Pr
0.168 0.668 0.564 Pr
0.186 0.686 0.893 Pr
0.168 0.332 0.436 Pr
0.500 0.500 0.210 Pr
0.500 0.500 0.334 Pr
0.000 0.500 0.268 Ho
0.500 0.000 0.268 Ho
0.000 0.500 0.732 Ho
0.500 0.000 0.732 Ho
0.500 0.000 0.000 Sc
0.000 0.500 0.000 Sc
```

Values from the calculation:
* space-group type: No. 125

no.,VASP energy (eV per atom)
1,-3.5113
2,-5.2320
3,-8.1001
4,-7.5462
5,-2.4937
6,-4.5168